1.
Computed, not measured: a relaxed Pr4DyY15 crystal at the PBE level of DFT.

a b c (Å): 5.095 5.095 25.362
angles (deg): 90.00 90.00 90.00
Positions (direct):
Pr (0.000, 0.000, 0.100)
Pr (0.000, 0.000, 0.301)
Pr (0.000, 0.000, 0.699)
Pr (0.000, 0.000, 0.900)
Dy (0.000, 0.000, 0.500)
Y (0.000, 0.500, 0.000)
Y (0.000, 0.500, 0.201)
Y (0.000, 0.500, 0.402)
Y (0.000, 0.500, 0.598)
Y (0.000, 0.500, 0.799)
Y (0.500, 0.000, 0.000)
Y (0.500, 0.000, 0.201)
Y (0.500, 0.000, 0.402)
Y (0.500, 0.000, 0.598)
Y (0.500, 0.000, 0.799)
Y (0.500, 0.500, 0.100)
Y (0.500, 0.500, 0.301)
Y (0.500, 0.500, 0.500)
Y (0.500, 0.500, 0.699)
Y (0.500, 0.500, 0.900)

Values from the calculation:
crystal system: tetragonal
energy of formation from the pure elements: 0.021 eV/atom
SG: No. 123
uncorrected energy: -120.3 eV for the cell shown

---

2.
Computed, not measured: a relaxed Pr12DyY7 crystal at the PBE level of DFT.

a b c (Å): 8.898 8.898 8.898
angles (deg): 88.72 88.72 88.72
Positions (direct):
Pr (0.011, 0.887, 0.359)
Pr (0.113, 0.641, 0.989)
Pr (0.226, 0.355, 0.761)
Pr (0.239, 0.774, 0.645)
Pr (0.355, 0.761, 0.226)
Pr (0.359, 0.011, 0.887)
Pr (0.641, 0.989, 0.113)
Pr (0.645, 0.239, 0.774)
Pr (0.761, 0.226, 0.355)
Pr (0.774, 0.645, 0.239)
Pr (0.887, 0.359, 0.011)
Pr (0.989, 0.113, 0.641)
Dy (0.500, 0.500, 0.500)
Y (0.000, 0.000, 0.000)
Y (0.115, 0.435, 0.353)
Y (0.353, 0.115, 0.435)
Y (0.435, 0.353, 0.115)
Y (0.565, 0.647, 0.885)
Y (0.647, 0.885, 0.565)
Y (0.885, 0.565, 0.647)

Values from the calculation:
energy above the most stable polymorph in this dataset: 0.0 meV per atom
crystal system: trigonal
energy of formation from the pure elements: 0.210 eV/atom
SG: No. 148
uncorrected energy: -103.0 eV for the cell shown

---

3.
Computed, not measured: a relaxed Pr3DyY7 crystal at the PBE level of DFT.

a b c (Å): 6.987 5.576 10.139
angles (deg): 90.00 108.84 90.00
Positions (direct):
Pr (0.000, 0.000, 0.000)
Pr (0.280, 0.500, 0.495)
Pr (0.720, 0.500, 0.505)
Dy (0.500, 0.000, 0.000)
Y (0.000, 0.000, 0.500)
Y (0.149, 0.500, 0.788)
Y (0.320, 0.500, 0.134)
Y (0.426, 0.000, 0.329)
Y (0.574, 0.000, 0.671)
Y (0.680, 0.500, 0.866)
Y (0.851, 0.500, 0.212)

Values from the calculation:
energy above the most stable polymorph in this dataset: 0.0 meV per atom
crystal system: monoclinic
energy of formation from the pure elements: 0.141 eV/atom
SG: No. 10
uncorrected energy: -62.6 eV for the cell shown

---

4.
Computed, not measured: a relaxed Pr6Dy2Y5 crystal at the PBE level of DFT.

a b c (Å): 11.787 20.827 3.661
angles (deg): 90.00 90.00 90.00
Positions (direct):
Pr (0.062, 0.079, 0.000)
Pr (0.082, 0.366, 0.000)
Pr (0.172, 0.635, 0.500)
Pr (0.328, 0.135, 0.500)
Pr (0.418, 0.866, 0.000)
Pr (0.438, 0.579, 0.000)
Pr (0.562, 0.421, 0.000)
Pr (0.582, 0.134, 0.000)
Pr (0.672, 0.865, 0.500)
Pr (0.828, 0.365, 0.500)
Pr (0.918, 0.634, 0.000)
Pr (0.938, 0.921, 0.000)
Dy (0.166, 0.789, 0.000)
Dy (0.334, 0.289, 0.000)
Dy (0.666, 0.711, 0.000)
Dy (0.834, 0.211, 0.000)
Y (0.000, 0.500, 0.500)
Y (0.092, 0.226, 0.500)
Y (0.198, 0.943, 0.500)
Y (0.302, 0.443, 0.500)
Y (0.408, 0.726, 0.500)
Y (0.500, 0.000, 0.500)
Y (0.592, 0.274, 0.500)
Y (0.698, 0.557, 0.500)
Y (0.802, 0.057, 0.500)
Y (0.908, 0.774, 0.500)

Values from the calculation:
crystal system: orthorhombic
energy of formation from the pure elements: 0.100 eV/atom
SG: No. 55
uncorrected energy: -137.8 eV for the cell shown